Record 1
# SrSc2F

A geometry-optimized SrSc2F structure (GGA-PBE, the Alexandria database).

Results
- size of the total moment (μB per formula unit) = 0.00
- volume (Å³ per atom) = 24.61
- crystal system = trigonal
- excess energy over the best structure of this formula in the dataset (eV per atom) = 0.227

Cell and atoms, written as CIF:
```
data_SrSc2F
_chemical_formula_sum 'Sr1 Sc2 F1'
_cell_length_a 9.2131
_cell_length_b 9.2131
_cell_length_c 9.2131
_cell_angle_alpha 22.26
_cell_angle_beta 22.26
_cell_angle_gamma 22.26
_space_group_name_H-M_alt 'P 1'
_space_group_IT_number 1
_space_group_name_Hall 'P 1'
loop_
_atom_site_label
_atom_site_type_symbol
_atom_site_fract_x
_atom_site_fract_y
_atom_site_fract_z
Sr1 Sr 0.0000 0.0000 0.0000
Sc1 Sc 0.1226 0.1226 0.1226
Sc2 Sc 0.8774 0.8774 0.8774
F1 F 0.5000 0.5000 0.5000
```


Record 2
# Sr2ScF7

A geometry-optimized Sr2ScF7 structure (GGA-PBE, the Alexandria database).

Results
- size of the total moment (μB per formula unit) = 0.12
- volume (Å³ per atom) = 14.19
- crystal system = monoclinic

Cell and atoms, written as CIF:
```
data_Sr2ScF7
_chemical_formula_sum 'Sr8 Sc4 F28'
_cell_length_a 5.5408
_cell_length_b 12.3074
_cell_length_c 8.3261
_cell_angle_alpha 90.00
_cell_angle_beta 90.43
_cell_angle_gamma 90.00
_space_group_name_H-M_alt 'P 1'
_space_group_IT_number 1
_space_group_name_Hall 'P 1'
loop_
_atom_site_label
_atom_site_type_symbol
_atom_site_fract_x
_atom_site_fract_y
_atom_site_fract_z
Sr1 Sr 0.2346 0.0617 0.3238
Sr2 Sr 0.2346 0.4383 0.8238
Sr3 Sr 0.2348 0.7199 0.4470
Sr4 Sr 0.2348 0.7801 0.9470
Sr5 Sr 0.7652 0.2199 0.0530
Sr6 Sr 0.7652 0.2801 0.5530
Sr7 Sr 0.7654 0.5617 0.1762
Sr8 Sr 0.7654 0.9383 0.6762
Sc1 Sc 0.2760 0.1257 0.7846
Sc2 Sc 0.2760 0.3743 0.2846
Sc3 Sc 0.7240 0.6257 0.7154
Sc4 Sc 0.7240 0.8743 0.2154
F1 F 0.0143 0.2454 0.3041
F2 F 0.0143 0.2546 0.8041
F3 F 0.0154 0.1052 0.5913
F4 F 0.0154 0.3948 0.0913
F5 F 0.1985 0.5371 0.2895
F6 F 0.1985 0.9629 0.7895
F7 F 0.2001 0.1360 0.0248
F8 F 0.2001 0.3640 0.5248
F9 F 0.3858 0.5741 0.6285
F10 F 0.3858 0.9259 0.1285
F11 F 0.4881 0.1052 0.5762
F12 F 0.4876 0.2306 0.2940
F13 F 0.4876 0.2694 0.7940
F14 F 0.4881 0.3948 0.0762
F15 F 0.5119 0.6052 0.9238
F16 F 0.5124 0.7306 0.2060
F17 F 0.5124 0.7694 0.7060
F18 F 0.5119 0.8948 0.4238
F19 F 0.6142 0.0741 0.8715
F20 F 0.6142 0.4259 0.3715
F21 F 0.7999 0.6360 0.4752
F22 F 0.7999 0.8640 0.9752
F23 F 0.8015 0.0371 0.2105
F24 F 0.8015 0.4629 0.7105
F25 F 0.9846 0.6052 0.9087
F26 F 0.9846 0.8948 0.4087
F27 F 0.9857 0.7454 0.1959
F28 F 0.9857 0.7546 0.6959
```


Let's list formation energy from raw total energies in order: -749, -3957 meV/atom.